1.
LiVTe (PBE, optimized geometry); polymorph energy (0 for the lowest one) = 0.0510 eV/atom; density of states at the Fermi level = 0.657 states/eV per atom; magnetization = 0.19 μB per atom; formation energy (no corrections) = -0.369 eV per atom
1.0
3.809 0.000 0.000
0.000 8.629 0.000
0.000 0.000 8.629
Li Te V
4 4 4
Direct
0.500 0.841 0.366 Li
0.500 0.159 0.634 Li
0.000 0.366 0.159 Li
0.000 0.634 0.841 Li
0.500 0.821 0.687 Te
0.000 0.313 0.821 Te
0.000 0.687 0.179 Te
0.500 0.179 0.313 Te
0.500 0.145 0.993 V
0.000 0.007 0.145 V
0.000 0.993 0.855 V
0.500 0.855 0.007 V

2.
LiVTe3 (PBE, optimized geometry); polymorph energy (0 for the lowest one) = 0.2905 eV/atom; density of states at the Fermi level = 1.095 states/eV per atom; magnetization = 0.24 μB per atom; formation energy (no corrections) = -0.038 eV per atom
1.0
-4.082 3.396 -0.383
-2.171 -2.115 4.376
2.640 3.512 3.007
V Te Li
1 3 1
Direct
0.000 0.000 0.000 V
0.000 0.500 0.000 Te
0.000 0.000 0.500 Te
0.500 0.000 0.000 Te
0.500 0.500 0.500 Li

3.
Li3VTe (PBE, optimized geometry); polymorph energy (0 for the lowest one) = 0.0000 eV/atom; density of states at the Fermi level = 1.558 states/eV per atom; magnetization = 0.87 μB per atom; formation energy (no corrections) = 0.309 eV per atom
1.0
-2.833 4.281 0.573
-0.279 -0.865 5.085
4.310 2.758 0.706
V Te Li
1 1 3
Direct
0.500 0.500 0.500 V
0.000 0.000 0.000 Te
0.000 0.500 0.000 Li
0.000 0.000 0.500 Li
0.500 0.000 0.000 Li

4.
LiVTe3 (PBE, optimized geometry); polymorph energy (0 for the lowest one) = 0.8172 eV/atom; density of states at the Fermi level = 1.237 states/eV per atom; magnetization = 0.62 μB per atom; formation energy (no corrections) = 0.489 eV per atom
1.0
-3.620 2.476 2.523
-1.764 -4.395 1.782
3.063 0.396 4.008
V Te Li
1 3 1
Direct
0.500 0.500 0.500 V
0.000 0.500 0.000 Te
0.000 0.000 0.500 Te
0.500 0.000 0.000 Te
0.000 0.000 0.000 Li

5.
LiV3Te (PBE, optimized geometry); polymorph energy (0 for the lowest one) = 0.2664 eV/atom; density of states at the Fermi level = 1.641 states/eV per atom; magnetization = 2.10 μB per atom; formation energy (no corrections) = 1.245 eV per atom
1.0
5.160 0.000 0.000
0.000 5.160 0.000
0.000 0.000 5.160
V Te Li
3 1 1
Direct
0.000 0.500 0.000 V
0.000 0.000 0.500 V
0.500 0.000 0.000 V
0.000 0.000 0.000 Te
0.500 0.500 0.500 Li

6.
Li2VTe4 (PBE, optimized geometry); density of states at the Fermi level = 0.906 states/eV per atom; magnetization = 0.15 μB per atom; formation energy (no corrections) = -0.220 eV per atom
1.0
-2.006 4.369 2.324
-4.327 -0.331 -3.112
-6.208 -1.845 4.247
Te Li V
4 2 1
Direct
0.200 0.200 0.599 Te
0.800 0.800 0.401 Te
0.000 0.500 0.000 Te
0.500 0.000 0.000 Te
0.397 0.397 0.205 Li
0.603 0.603 0.795 Li
0.000 0.000 0.000 V